SrMn2O6 after structural relaxation. Source: Alexandria, functional PBE with a Hubbard U.

```
data_SrMn2O6
_chemical_formula_sum 'Sr1 Mn2 O6'
_cell_length_a 4.991
_cell_length_b 4.991
_cell_length_c 5.445
_cell_angle_alpha 90.00
_cell_angle_beta 90.00
_cell_angle_gamma 120.00
_symmetry_space_group_name_H-M 'P 1'
_symmetry_Int_Tables_number 1
_symmetry_space_group_name_Hall 'P 1'
loop_
_atom_site_label
_atom_site_type_symbol
_atom_site_fract_x
_atom_site_fract_y
_atom_site_fract_z
Sr1 Sr 0.000 0.000 0.000
Mn1 Mn 0.333 0.667 0.500
Mn2 Mn 0.667 0.333 0.500
O1 O 0.000 0.436 0.282
O2 O 0.000 0.436 0.718
O3 O 0.436 0.000 0.282
O4 O 0.436 0.000 0.718
O5 O 0.564 0.564 0.282
O6 O 0.564 0.564 0.718
```

Calculated values
- Raw total energy: -58.306 eV per cell